1.
Compound: Zr7Zn
Source: Alexandria via LeMat-Bulk
Functional: PBEsol
Structure: relaxed

Summary:
**Calculated density**: 6.98 g/cm3
**Magnetization**: 0.00 μB per cell
**Uncorrected energy**: -8.186 eV per atom
**Polymorph energy (0 for the lowest one)**: 0.0 kJ per mole of atoms
**Formation energy**: -35 meV/atom

```
Zr7Zn
1.0
4.3614 0.0000 0.0000
0.0000 4.3614 0.0000
0.0000 0.0000 8.8031
Zr Zn
7 1
direct
0.0000 0.0000 0.0000
0.0000 0.0000 0.5000
0.0000 0.5000 0.2415
0.0000 0.5000 0.7585
0.5000 0.0000 0.2415
0.5000 0.0000 0.7585
0.5000 0.5000 0.5000
0.5000 0.5000 0.0000
```

=====

2.
Compound: Zr5Zn3
Source: Alexandria via LeMat-Bulk
Functional: PBEsol
Structure: relaxed

Summary:
**Calculated density**: 7.07 g/cm3
**Magnetization**: 0.00 μB per cell
**Uncorrected energy**: -6.478 eV per atom
**Polymorph energy (0 for the lowest one)**: 0.0 kJ per mole of atoms
**Formation energy**: -204 meV/atom

```
Zr5Zn3
1.0
3.2602 0.0000 0.0000
0.0000 3.2602 0.0000
0.0000 0.0000 14.4174
Zr Zn
5 3
direct
0.0000 0.0000 0.0000
0.0000 0.0000 0.2363
0.0000 0.0000 0.7637
0.5000 0.5000 0.3800
0.5000 0.5000 0.6200
0.0000 0.0000 0.5000
0.5000 0.5000 0.1167
0.5000 0.5000 0.8833
```

=====

3.
Compound: Zr3Zn2
Source: Alexandria via LeMat-Bulk
Functional: PBEsol
Structure: relaxed

Summary:
**Calculated density**: 7.15 g/cm3
**Magnetization**: 0.00 μB per cell
**Uncorrected energy**: -6.274 eV per atom
**Polymorph energy (0 for the lowest one)**: 1.5 kJ per mole of atoms
**Formation energy**: -187 meV/atom

```
Zr3Zn2
1.0
6.9861 -2.3436 0.0000
6.9861 2.3436 0.0000
-0.7334 0.0000 5.7393
Zr Zn
6 4
direct
0.0168 0.0168 0.2564
0.2062 0.2062 0.6401
0.3938 0.3938 0.0343
0.6062 0.6062 0.9657
0.7938 0.7938 0.3599
0.9832 0.9832 0.7436
0.2056 0.2056 0.1361
0.4083 0.4083 0.5229
0.5917 0.5917 0.4771
0.7944 0.7944 0.8639
```

=====

4.
Compound: Zr5Zn3
Source: Alexandria via LeMat-Bulk
Functional: PBEsol
Structure: relaxed

Summary:
**Calculated density**: 7.23 g/cm3
**Magnetization**: 0.01 μB per cell
**Uncorrected energy**: -6.432 eV per atom
**Polymorph energy (0 for the lowest one)**: 4.5 kJ per mole of atoms
**Formation energy**: -157 meV/atom

```
Zr5Zn3
1.0
3.9107 0.0000 0.0000
0.0000 4.2957 0.0000
0.0000 0.0000 8.9224
Zr Zn
5 3
direct
0.0000 0.0000 0.0000
0.0000 0.0000 0.5000
0.0000 0.5000 0.2376
0.0000 0.5000 0.7624
0.5000 0.5000 0.5000
0.5000 0.0000 0.2494
0.5000 0.0000 0.7506
0.5000 0.5000 0.0000
```

=====

5.
Compound: Zr3Zn5
Source: Alexandria via LeMat-Bulk
Functional: PBEsol
Structure: relaxed

Summary:
**Calculated density**: 7.47 g/cm3
**Magnetization**: 0.00 μB per cell
**Uncorrected energy**: -4.661 eV per atom
**Polymorph energy (0 for the lowest one)**: 0.0 kJ per mole of atoms
**Formation energy**: -264 meV/atom

```
Zr3Zn5
1.0
-2.2141 2.2141 6.8063
2.2141 -2.2141 6.8063
2.2141 2.2141 -6.8063
Zr Zn
3 5
direct
0.0000 0.0000 0.0000
0.2564 0.2564 0.0000
0.7436 0.7436 0.0000
0.1173 0.6173 0.5000
0.3827 0.8827 0.5000
0.5000 0.5000 0.0000
0.6173 0.1173 0.5000
0.8827 0.3827 0.5000
```

=====

6.
Compound: Zr8Zn
Source: Alexandria via LeMat-Bulk
Functional: PBEsol
Structure: relaxed

Summary:
**Calculated density**: 6.96 g/cm3
**Magnetization**: 0.00 μB per cell
**Uncorrected energy**: -8.278 eV per atom
**Formation energy**: -22 meV/atom

```
Zr8Zn
1.0
-4.7514 4.7514 2.0996
4.7514 -4.7514 2.0996
4.7514 4.7514 -2.0996
Zr Zn
8 1
direct
0.0000 0.3312 0.3312
0.0000 0.6688 0.6688
0.3312 0.0000 0.3312
0.3370 0.3370 0.6740
0.3370 0.6630 0.0000
0.6630 0.3370 0.0000
0.6630 0.6630 0.3260
0.6688 0.0000 0.6688
0.0000 0.0000 0.0000
```

=====

7.
Compound: ZrZn4
Source: Alexandria via LeMat-Bulk
Functional: PBEsol
Structure: relaxed

Summary:
**Calculated density**: 4.96 g/cm3
**Magnetization**: 0.01 μB per cell
**Uncorrected energy**: -2.376 eV per atom
**Formation energy**: 708 meV/atom

```
ZrZn4
1.0
-3.0920 3.0920 3.0920
3.0920 -3.0920 3.0920
3.0920 3.0920 -3.0920
Zr Zn
1 4
direct
0.0000 0.0000 0.0000
0.0000 0.0000 0.5000
0.0000 0.5000 0.0000
0.5000 0.0000 0.0000
0.5000 0.5000 0.5000
```

=====

8.
Compound: Zr2Zn3
Source: Alexandria via LeMat-Bulk
Functional: PBEsol
Structure: relaxed

Summary:
**Calculated density**: 7.33 g/cm3
**Magnetization**: 0.00 μB per cell
**Uncorrected energy**: -4.843 eV per atom
**Formation energy**: -258 meV/atom

```
Zr2Zn3
1.0
0.0000 6.8400 2.7105
4.6288 0.0000 2.7105
4.6288 6.8400 0.0000
Zr Zn
4 6
direct
0.1172 0.8828 0.2783
0.5283 0.9717 0.3672
0.8828 0.1172 0.7217
0.9717 0.5283 0.1328
0.1694 0.1694 0.8306
0.4194 0.4194 0.0806
0.4591 0.5503 0.3030
0.5503 0.4591 0.6877
0.5623 0.9470 0.6997
0.9470 0.5623 0.7909
```

=====

9.
Compound: Zr3Zn2
Source: Alexandria via LeMat-Bulk
Functional: PBEsol
Structure: relaxed

Summary:
**Calculated density**: 6.74 g/cm3
**Magnetization**: 0.00 μB per cell
**Uncorrected energy**: -6.109 eV per atom
**Polymorph energy (0 for the lowest one)**: 17.3 kJ per mole of atoms
**Formation energy**: -23 meV/atom

```
Zr3Zn2
1.0
1.6116 0.9304 11.0820
-1.6116 0.9304 11.0820
0.0000 -1.8609 11.0820
Zr Zn
3 2
direct
0.0000 0.0000 0.0000
0.2030 0.2030 0.2030
0.7970 0.7970 0.7970
0.3981 0.3981 0.3981
0.6019 0.6019 0.6019
```

=====

10.
Compound: Zr7Zn
Source: Alexandria via LeMat-Bulk
Functional: PBEsol
Structure: relaxed

Summary:
**Calculated density**: 6.94 g/cm3
**Magnetization**: 0.00 μB per cell
**Uncorrected energy**: -8.125 eV per atom
**Polymorph energy (0 for the lowest one)**: 5.9 kJ per mole of atoms
**Formation energy**: 26 meV/atom

```
Zr7Zn
1.0
0.0000 4.3825 4.3825
4.3825 0.0000 4.3825
4.3825 4.3825 0.0000
Zr Zn
7 1
direct
0.0000 0.0000 0.0000
0.0000 0.0000 0.5000
0.0000 0.5000 0.0000
0.0000 0.5000 0.5000
0.5000 0.0000 0.0000
0.5000 0.0000 0.5000
0.5000 0.5000 0.0000
0.5000 0.5000 0.5000
```

=====

11.
Compound: Zr5Zn3
Source: Alexandria via LeMat-Bulk
Functional: PBEsol
Structure: relaxed

Summary:
**Calculated density**: 7.13 g/cm3
**Magnetization**: 0.00 μB per cell
**Uncorrected energy**: -6.452 eV per atom
**Polymorph energy (0 for the lowest one)**: 2.5 kJ per mole of atoms
**Formation energy**: -178 meV/atom

```
Zr5Zn3
1.0
8.1968 0.0000 0.0000
-4.0984 7.0987 0.0000
0.0000 0.0000 5.2213
Zr Zn
10 6
direct
0.0000 0.2384 0.2500
0.0000 0.7616 0.7500
0.2384 0.0000 0.2500
0.2384 0.2384 0.7500
0.3333 0.6667 0.0000
0.3333 0.6667 0.5000
0.6667 0.3333 0.0000
0.6667 0.3333 0.5000
0.7616 0.0000 0.7500
0.7616 0.7616 0.2500
0.0000 0.3980 0.7500
0.0000 0.6020 0.2500
0.3980 0.0000 0.7500
0.3980 0.3980 0.2500
0.6020 0.0000 0.2500
0.6020 0.6020 0.7500
```

=====

12.
Compound: Zr5Zn24
Source: Alexandria via LeMat-Bulk
Functional: PBEsol
Structure: relaxed

Summary:
**Calculated density**: 7.61 g/cm3
**Magnetization**: 0.01 μB per cell
**Uncorrected energy**: -3.077 eV per atom
**Formation energy**: -201 meV/atom

```
Zr5Zn24
1.0
-4.7991 4.7991 4.7991
4.7991 -4.7991 4.7991
4.7991 4.7991 -4.7991
Zr Zn
5 24
direct
0.0000 0.0000 0.0000
0.0000 0.0000 0.3842
0.0000 0.3842 0.0000
0.3842 0.0000 0.0000
0.6158 0.6158 0.6158
0.0000 0.3246 0.6213
0.0000 0.6213 0.3246
0.0000 0.6291 0.8070
0.0000 0.8070 0.6291
0.1779 0.3709 0.3709
0.1930 0.1930 0.8221
0.1930 0.8221 0.1930
0.2967 0.6754 0.6754
0.3246 0.0000 0.6213
0.3246 0.6213 0.0000
0.3709 0.1779 0.3709
0.3709 0.3709 0.1779
0.3787 0.3787 0.7033
0.3787 0.7033 0.3787
0.6213 0.0000 0.3246
0.6213 0.3246 0.0000
0.6291 0.0000 0.8070
0.6291 0.8070 0.0000
0.6754 0.2967 0.6754
0.6754 0.6754 0.2967
0.7033 0.3787 0.3787
0.8070 0.0000 0.6291
0.8070 0.6291 0.0000
0.8221 0.1930 0.1930
```

=====

13.
Compound: Zr5Zn3
Source: Alexandria via LeMat-Bulk
Functional: PBEsol
Structure: relaxed

Summary:
**Calculated density**: 7.16 g/cm3
**Magnetization**: 0.82 μB per cell
**Uncorrected energy**: -6.448 eV per atom
**Polymorph energy (0 for the lowest one)**: 3.0 kJ per mole of atoms
**Formation energy**: -173 meV/atom

```
Zr5Zn3
1.0
-5.4026 5.4026 2.5925
5.4026 -5.4026 2.5925
5.4026 5.4026 -2.5925
Zr Zn
10 6
direct
0.0804 0.7794 0.8598
0.2206 0.0804 0.3010
0.2500 0.7500 0.5000
0.2794 0.5804 0.8598
0.4196 0.2794 0.6990
0.5804 0.7206 0.3010
0.7206 0.4196 0.1402
0.7500 0.2500 0.5000
0.7794 0.9196 0.6990
0.9196 0.2206 0.1402
0.1641 0.3359 0.5000
0.2500 0.2500 0.0000
0.3359 0.8359 0.1719
0.6641 0.1641 0.8281
0.7500 0.7500 0.0000
0.8359 0.6641 0.5000
```

=====

14.
Compound: Zr5Zn3
Source: Alexandria via LeMat-Bulk
Functional: PBEsol
Structure: relaxed

Summary:
**Calculated density**: 7.18 g/cm3
**Magnetization**: 0.00 μB per cell
**Uncorrected energy**: -6.429 eV per atom
**Polymorph energy (0 for the lowest one)**: 4.8 kJ per mole of atoms
**Formation energy**: -155 meV/atom

```
Zr5Zn3
1.0
3.9058 -4.3965 0.0000
3.9058 4.3965 0.0000
0.0000 0.0000 4.3933
Zr Zn
5 3
direct
0.0000 0.0000 0.0000
0.0000 0.5000 0.0000
0.2682 0.2682 0.5000
0.5000 0.0000 0.0000
0.7318 0.7318 0.5000
0.2362 0.7638 0.5000
0.5000 0.5000 0.0000
0.7638 0.2362 0.5000
```